(1)
# Sc8SiS6 (PBE, optimized geometry)
# calculated density	3.36	g/cm3
# final energy	-6.7823	eV/atom
# energy relative to the elements, uncorrected	-1.393	eV/atom
data_Sc8SiS6
_chemical_formula_sum 'Sc8 Si1 S6'
_cell_length_a 3.651
_cell_length_b 9.523
_cell_length_c 9.523
_cell_angle_alpha 120.00
_cell_angle_beta 90.00
_cell_angle_gamma 90.00
_symmetry_space_group_name_H-M 'P 1'
_symmetry_Int_Tables_number 1
_symmetry_space_group_name_Hall 'P 1'
loop_
_atom_site_label
_atom_site_fract_x
_atom_site_fract_y
_atom_site_fract_z
Sc1 0.743 0.970 0.283
Sc2 0.743 0.717 0.687
Sc3 0.743 0.313 0.030
Sc4 0.257 0.030 0.717
Sc5 0.257 0.283 0.313
Sc6 0.257 0.687 0.970
Sc7 0.745 0.333 0.667
Sc8 0.255 0.667 0.333
Si1 0.500 0.000 0.000
S1 0.753 0.659 0.133
S2 0.753 0.867 0.526
S3 0.753 0.474 0.341
S4 0.247 0.341 0.867
S5 0.247 0.133 0.474
S6 0.247 0.526 0.659


(2)
# Sc7SiS5 (PBE, optimized geometry)
# calculated density	3.46	g/cm3
# final energy	-7.0149	eV/atom
# energy relative to the elements, uncorrected	-1.601	eV/atom
data_Sc7SiS5
_chemical_formula_sum 'Sc14 Si2 S10'
_cell_length_a 3.699
_cell_length_b 6.317
_cell_length_c 21.584
_cell_angle_alpha 89.99
_cell_angle_beta 90.00
_cell_angle_gamma 107.03
_symmetry_space_group_name_H-M 'P 1'
_symmetry_Int_Tables_number 1
_symmetry_space_group_name_Hall 'P 1'
loop_
_atom_site_label
_atom_site_fract_x
_atom_site_fract_y
_atom_site_fract_z
Sc1 0.466 0.932 0.250
Sc2 0.535 0.069 0.750
Sc3 0.638 0.276 0.037
Sc4 0.363 0.725 0.963
Sc5 0.362 0.725 0.537
Sc6 0.638 0.276 0.463
Sc7 0.186 0.372 0.179
Sc8 0.815 0.629 0.821
Sc9 0.815 0.629 0.679
Sc10 0.186 0.372 0.321
Sc11 0.906 0.811 0.117
Sc12 0.095 0.190 0.883
Sc13 0.095 0.189 0.617
Sc14 0.906 0.812 0.383
Si1 0.805 0.610 0.250
Si2 0.195 0.391 0.750
S1 0.000 0.001 0.000
S2 0.725 0.450 0.927
S3 0.276 0.552 0.072
S4 0.549 0.097 0.357
S5 0.452 0.904 0.643
S6 0.000 0.000 0.500
S7 0.276 0.552 0.428
S8 0.725 0.449 0.572
S9 0.452 0.904 0.857
S10 0.549 0.097 0.143


(3)
# ScSiS3 (PBE, optimized geometry)
# calculated density	2.56	g/cm3
# offset from the most stable computed form	0	meV/atom
# final energy	-5.8276	eV/atom
# energy relative to the elements, uncorrected	-1.000	eV/atom
data_ScSiS3
_chemical_formula_sum 'Sc4 Si4 S12'
_cell_length_a 6.417
_cell_length_b 8.716
_cell_length_c 8.716
_cell_angle_alpha 79.15
_cell_angle_beta 72.10
_cell_angle_gamma 72.10
_symmetry_space_group_name_H-M 'P 1'
_symmetry_Int_Tables_number 1
_symmetry_space_group_name_Hall 'P 1'
loop_
_atom_site_label
_atom_site_fract_x
_atom_site_fract_y
_atom_site_fract_z
Sc1 0.750 0.245 0.755
Sc2 0.250 0.085 0.915
Sc3 0.750 0.915 0.085
Sc4 0.250 0.755 0.245
Si1 0.664 0.387 0.214
Si2 0.164 0.214 0.387
Si3 0.836 0.786 0.613
Si4 0.336 0.613 0.786
S1 0.295 0.430 0.283
S2 0.680 0.964 0.797
S3 0.795 0.283 0.430
S4 0.205 0.717 0.570
S5 0.826 0.871 0.371
S6 0.180 0.797 0.964
S7 0.705 0.570 0.717
S8 0.820 0.203 0.036
S9 0.320 0.036 0.203
S10 0.326 0.371 0.871
S11 0.174 0.129 0.629
S12 0.674 0.629 0.129


(4)
# Sc5SiS4 (PBE, optimized geometry)
# calculated density	3.45	g/cm3
# final energy	-7.0259	eV/atom
# energy relative to the elements, uncorrected	-1.667	eV/atom
data_Sc5SiS4
_chemical_formula_sum 'Sc5 Si1 S4'
_cell_length_a 5.259
_cell_length_b 6.464
_cell_length_c 6.464
_cell_angle_alpha 80.48
_cell_angle_beta 66.00
_cell_angle_gamma 66.00
_symmetry_space_group_name_H-M 'P 1'
_symmetry_Int_Tables_number 1
_symmetry_space_group_name_Hall 'P 1'
loop_
_atom_site_label
_atom_site_fract_x
_atom_site_fract_y
_atom_site_fract_z
Sc1 0.903 0.396 0.800
Sc2 0.299 0.800 0.604
Sc3 0.703 0.200 0.396
Sc4 0.099 0.604 0.200
Sc5 0.501 0.000 0.000
Si1 0.001 0.000 0.000
S1 0.401 0.401 0.798
S2 0.802 0.798 0.599
S3 0.200 0.202 0.401
S4 0.601 0.599 0.202